i.
DFT (PBE-GGA) results for HfTcF3 after structural relaxation.

abc: 4.2073 4.2073 4.2073
angles: 90.00 90.00 90.00
Sites, in units of the cell vectors:
F  0.5000  0.0000  0.0000
Hf  0.5000  0.5000  0.5000
F  0.0000  0.0000  0.5000
F  0.0000  0.5000  0.0000
Tc  0.0000  0.0000  0.0000

Properties
The mass density is 7.44 g/cm³. The total magnetic moment comes out at 0.00 μB per atom.

=====

ii.
DFT (PBE-GGA) results for HfTcF3 after structural relaxation.

abc: 4.2730 4.2730 4.2730
angles: 90.00 90.00 90.00
Sites, in units of the cell vectors:
F  0.5000  0.0000  0.0000
F  0.0000  0.5000  0.0000
Tc  0.5000  0.5000  0.5000
F  0.0000  0.0000  0.5000
Hf  0.0000  0.0000  0.0000

Properties
The mass density is 7.10 g/cm³. The total magnetic moment comes out at 0.66 μB per atom.

=====

Which is most stable, and by how much? ii, by 83.4 kJ/mol of atoms.

=====

i.
DFT (PBE-GGA) results for HfTc3F after structural relaxation.

abc: 4.2251 4.2251 4.2251
angles: 90.00 90.00 90.00
Sites, in units of the cell vectors:
Hf  0.5000  0.5000  0.5000
Tc  0.0000  0.0000  0.5000
Tc  0.5000  0.0000  0.0000
F  0.0000  0.0000  0.0000
Tc  0.0000  0.5000  0.0000

Properties
The mass density is 10.82 g/cm³. The total magnetic moment comes out at 0.00 μB per atom.

=====

ii.
DFT (PBE-GGA) results for HfTc3F after structural relaxation.

abc: 4.9881 4.9881 4.9881
angles: 90.00 90.00 90.00
Sites, in units of the cell vectors:
F  0.5000  0.5000  0.5000
Tc  0.5000  0.0000  0.0000
Hf  0.0000  0.0000  0.0000
Tc  0.0000  0.0000  0.5000
Tc  0.0000  0.5000  0.0000

Properties
The mass density is 6.58 g/cm³. The total magnetic moment comes out at 1.66 μB per atom.

=====

Which is most stable, and by how much? i, by 145.8 kJ/mol of atoms.